Record 1
Here is CaPBrCl2 after structural relaxation from the Alexandria database. Energies are from GGA-PBEsol.

Calculated values
Energy, eV for the cell shown: -15.82

a = 4.9790 Å, b = 4.9790 Å, c = 9.3205 Å
α = 90.00°, β = 90.00°, γ = 90.00°
Closest atoms and distances in Å follow each position.
Sites, in units of the cell vectors:
Cl (0.5000, 0.0000, 0.0000)  2 Ca 2.49
Cl (0.0000, 0.5000, 0.0000)  2 Ca 2.49
Ca (0.0000, 0.0000, 0.0000)  4 Cl 2.49
P (0.0000, 0.0000, 0.5000)  4 Br 3.52
Br (0.5000, 0.5000, 0.5000)  4 P 3.52

---

Record 2
Here is CaS2BrCl after structural relaxation from the Alexandria database. Energies are from GGA-PBEsol.

Calculated values
Energy, eV for the cell shown: -15.32

a = 5.0642 Å, b = 5.5292 Å, c = 5.5292 Å
α = 90.00°, β = 90.00°, γ = 90.00°
Closest atoms and distances in Å follow each position.
Sites, in units of the cell vectors:
Cl (0.5000, 0.0000, 0.0000)  2 Ca 2.53
Ca (0.0000, 0.0000, 0.0000)  2 Cl 2.53, 4 S 2.76
Br (0.5000, 0.5000, 0.5000)  8 S 3.75, 4 Cl 3.91
S (0.0000, 0.5000, 0.0000)  2 Ca 2.76
S (0.0000, 0.0000, 0.5000)  2 Ca 2.76